# 1
VASP calculation (GGA-PBE) on a relaxed structure of CdP2SI.

Cell: 5.2319 5.2319 5.0317 Å, 90.00 90.00 90.00°
Atoms (fractional coordinates):
Cd (0.0000, 0.0000, 0.0000)
P (0.0000, 0.5000, 0.5000)
P (0.5000, 0.0000, 0.5000)
S (0.5000, 0.5000, 0.0000)
I (0.5000, 0.5000, 0.5000)

Values from the calculation:
- crystal system = tetragonal

# 2
VASP calculation (GGA-PBE) on a relaxed structure of CdSbPI2.

Cell: 5.4493 5.4493 5.4888 Å, 90.00 90.00 90.00°
Atoms (fractional coordinates):
Cd (0.0000, 0.0000, 0.0000)
Sb (0.5000, 0.5000, 0.0000)
P (0.5000, 0.5000, 0.5000)
I (0.0000, 0.5000, 0.5000)
I (0.5000, 0.0000, 0.5000)

Values from the calculation:
- crystal system = tetragonal

# 3
VASP calculation (GGA-PBE) on a relaxed structure of CdSbPI2.

Cell: 5.7884 5.7884 5.8261 Å, 90.00 90.00 90.00°
Atoms (fractional coordinates):
Cd (0.0000, 0.0000, 0.0000)
Sb (0.0000, 0.0000, 0.5000)
P (0.5000, 0.5000, 0.5000)
I (0.0000, 0.5000, 0.0000)
I (0.5000, 0.0000, 0.0000)

Values from the calculation:
- crystal system = tetragonal

# 4
VASP calculation (GGA-PBE) on a relaxed structure of CdTePI2.

Cell: 5.8026 5.8026 5.9374 Å, 90.00 90.00 90.00°
Atoms (fractional coordinates):
Cd (0.0000, 0.0000, 0.0000)
Te (0.0000, 0.0000, 0.5000)
P (0.5000, 0.5000, 0.5000)
I (0.0000, 0.5000, 0.0000)
I (0.5000, 0.0000, 0.0000)

Values from the calculation:
- crystal system = tetragonal

# 5
VASP calculation (GGA-PBE) on a relaxed structure of CdTe2PI.

Cell: 5.3873 5.3873 5.3318 Å, 90.00 90.00 90.00°
Atoms (fractional coordinates):
Cd (0.0000, 0.0000, 0.0000)
Te (0.0000, 0.5000, 0.5000)
Te (0.5000, 0.0000, 0.5000)
P (0.5000, 0.5000, 0.5000)
I (0.5000, 0.5000, 0.0000)

Values from the calculation:
- crystal system = tetragonal

# 6
VASP calculation (GGA-PBE) on a relaxed structure of CdTePI2.

Cell: 5.4267 5.4267 5.5402 Å, 90.00 90.00 90.00°
Atoms (fractional coordinates):
Cd (0.0000, 0.0000, 0.0000)
Te (0.5000, 0.5000, 0.0000)
P (0.5000, 0.5000, 0.5000)
I (0.0000, 0.5000, 0.5000)
I (0.5000, 0.0000, 0.5000)

Values from the calculation:
- crystal system = tetragonal

# 7
VASP calculation (GGA-PBE) on a relaxed structure of CdTe2PI.

Cell: 5.6950 5.6950 5.7572 Å, 90.00 90.00 90.00°
Atoms (fractional coordinates):
Cd (0.0000, 0.0000, 0.0000)
Te (0.0000, 0.5000, 0.0000)
Te (0.5000, 0.0000, 0.0000)
P (0.5000, 0.5000, 0.5000)
I (0.0000, 0.0000, 0.5000)

Values from the calculation:
- crystal system = tetragonal

# 8
VASP calculation (GGA-PBE) on a relaxed structure of Pa2CdI8.

Cell: 11.6105 11.6105 6.1476 Å, 90.00 90.00 120.00°
Atoms (fractional coordinates):
Pa (0.3333, 0.6667, 0.2609)
Pa (0.6667, 0.3333, 0.7391)
Cd (0.0000, 0.0000, 0.0000)
I (0.1877, 0.3774, 0.2637)
I (0.1897, 0.8123, 0.2637)
I (0.3333, 0.6667, 0.7613)
I (0.3774, 0.1897, 0.7363)
I (0.6226, 0.8103, 0.2637)
I (0.6667, 0.3333, 0.2387)
I (0.8103, 0.1877, 0.7363)
I (0.8123, 0.6226, 0.7363)

Values from the calculation:
- crystal system = trigonal

no.,spin magnetization (μB per cell),E_tot (eV for the cell shown)
1,1.185,-11.179
2,0.000,-11.668
3,1.346,-9.478
4,1.031,-9.029
5,0.000,-12.396
6,0.000,-11.230
7,0.849,-9.706
8,2.000,-39.499